1.
A plane-wave DFT calculation with PBE was carried out for a relaxed structure of Ag2IOF.

## Properties
As for the uncorrected formation energy: -409 meV/atom. The crystal system is monoclinic.

Cell: 3.947 10.488 4.657 Å, 90.00 90.03 90.00°
Fractional positions:
Ag: 0.248 0.000 0.145
Ag: 0.248 0.268 0.414
Ag: 0.752 0.500 0.855
Ag: 0.752 0.768 0.586
I: 0.252 0.616 0.265
I: 0.748 0.116 0.735
O: 0.252 0.478 0.569
O: 0.748 0.978 0.431
F: 0.252 0.788 0.915
F: 0.748 0.288 0.085

=====

2.
A plane-wave DFT calculation with PBE was carried out for a relaxed structure of Ag6IOF2.

## Properties
As for the uncorrected formation energy: -359 meV/atom. The crystal system is monoclinic.

Cell: 6.219 6.241 10.566 Å, 90.00 115.77 90.00°
Fractional positions:
Ag: 0.124 0.186 0.115
Ag: 0.124 0.314 0.615
Ag: 0.273 0.091 0.414
Ag: 0.273 0.409 0.914
Ag: 0.370 0.621 0.189
Ag: 0.370 0.879 0.689
Ag: 0.630 0.121 0.311
Ag: 0.630 0.379 0.811
Ag: 0.727 0.591 0.086
Ag: 0.727 0.909 0.586
Ag: 0.876 0.686 0.385
Ag: 0.876 0.814 0.885
I: 0.500 0.000 0.000
I: 0.500 0.500 0.500
O: 0.000 0.000 0.500
O: 0.000 0.500 0.000
F: 0.085 0.636 0.711
F: 0.085 0.864 0.211
F: 0.915 0.136 0.789
F: 0.915 0.364 0.289

=====

Total energy: -3.23 -3.09 (eV per atom)